InCo2Se | PBE-GGA | optimized geometry

Calculated values
The crystal system is monoclinic. As for the density of states at the Fermi level: 0.9567 states/eV per atom. The calculation puts the total magnetic moment at 2.208 μB/cell. Its formation energy from raw total energies is 17.0 kJ per mole of atoms. The calculated volume comes out at 134 Å³/cell.

CIF file:
```
data_InCo2Se
_chemical_formula_sum 'In2 Co4 Se2'
_cell_length_a 7.3099
_cell_length_b 2.9593
_cell_length_c 6.7085
_cell_angle_alpha 90.00
_cell_angle_beta 112.18
_cell_angle_gamma 90.00
_symmetry_space_group_name_H-M 'C 1 2/m 1'
_symmetry_Int_Tables_number 12
_symmetry_space_group_name_Hall '-C 2y'
loop_
_atom_site_label
_atom_site_type_symbol
_atom_site_fract_x
_atom_site_fract_y
_atom_site_fract_z
In1 In 0.0000 0.0000 0.0000
Co1 Co 0.2287 0.5000 0.3351
Se1 Se 0.0000 0.5000 0.5000
```